# 1
First-principles (PBE) data for crystalline LiPrAlPd at its relaxed geometry, as listed in Alexandria via LeMat-Bulk.

abc: 4.8126 4.8126 4.8126
angles: 60.00 60.00 60.00
Last column: nearest neighbours and their distance in Å.
Fractional coordinates of all 4 atoms:
Pd: 0.5000 0.5000 0.5000  4 Al 2.95, 4 Pr 2.95
Pr: 0.7500 0.7500 0.7500  4 Pd 2.95, 4 Li 2.95
Al: 0.2500 0.2500 0.2500  4 Li 2.95, 4 Pd 2.95
Li: 0.0000 0.0000 0.0000  4 Pr 2.95, 4 Al 2.95

space-group type	No. 216

# 2
First-principles (PBE) data for crystalline LiPr2Al4Pd3 at its relaxed geometry, as listed in Alexandria via LeMat-Bulk.

abc: 4.4622 4.4622 9.8988
angles: 90.00 90.00 90.00
Last column: nearest neighbours and their distance in Å.
Fractional coordinates of all 10 atoms:
Pd: 0.0000 0.5000 0.1268  5 Al 2.47-2.56
Pd: 0.5000 0.0000 0.8732  5 Al 2.47-2.56
Pd: 0.0000 0.0000 0.5000  4 Al 2.55
Al: 0.5000 0.0000 0.6241  3 Pd 2.47-2.55, 2 Li 2.55
Al: 0.0000 0.5000 0.3759  3 Pd 2.47-2.55, 2 Li 2.55
Al: 0.5000 0.5000 0.0000  4 Pd 2.56
Al: 0.0000 0.0000 0.0000  4 Pd 2.56
Pr: 0.0000 0.5000 0.7474  2 Li 3.31, 6 Pd 3.31-3.39, 9 Al 3.35-3.68
Pr: 0.5000 0.0000 0.2526  2 Li 3.31, 6 Pd 3.31-3.39, 9 Al 3.35-3.68
Li: 0.5000 0.5000 0.5000  4 Al 2.55

space-group type	No. 115

# 3
First-principles (PBE) data for crystalline LiPrAlPd3 at its relaxed geometry, as listed in Alexandria via LeMat-Bulk.

abc: 6.3855 5.8926 6.6107
angles: 116.47 90.00 90.00
Last column: nearest neighbours and their distance in Å.
Fractional coordinates of all 12 atoms:
Pd: 0.0000 0.2583 0.0000  2 Li 2.39, 2 Al 2.57
Pd: 0.5000 0.2583 0.0000  2 Li 2.39, 2 Al 2.57
Pd: 0.5000 0.7417 0.0000  2 Li 2.39, 2 Al 2.57
Pd: 0.2500 0.1684 0.3367  1 Al 2.51
Pd: 0.0000 0.7417 0.0000  2 Li 2.39, 2 Al 2.57
Pd: 0.7500 0.8316 0.6633  1 Al 2.51
Al: 0.2500 0.3801 0.7602  5 Pd 2.51-2.57
Al: 0.7500 0.6199 0.2398  5 Pd 2.51-2.57
Pr: 0.2500 0.6844 0.3687  1 Li 2.81, 6 Pd 2.95-3.06
Pr: 0.7500 0.3156 0.6313  1 Li 2.81, 6 Pd 2.95-3.06
Li: 0.7500 0.0780 0.1560  4 Pd 2.39
Li: 0.2500 0.9220 0.8440  4 Pd 2.39

space-group type	No. 63

# 4
First-principles (PBE) data for crystalline LiPr2Al3Pd4 at its relaxed geometry, as listed in Alexandria via LeMat-Bulk.

abc: 4.3398 4.3398 10.3405
angles: 90.00 90.00 90.00
Last column: nearest neighbours and their distance in Å.
Fractional coordinates of all 10 atoms:
Al: 0.5000 0.0000 0.8750  5 Pd 2.52-2.53
Al: 0.0000 0.5000 0.1250  5 Pd 2.52-2.53
Al: 0.0000 0.0000 0.5000  4 Pd 2.56
Pd: 0.0000 0.5000 0.3687  3 Al 2.52-2.56, 2 Li 2.56
Pd: 0.5000 0.5000 0.0000  4 Al 2.53
Pd: 0.0000 0.0000 0.0000  4 Al 2.53
Pd: 0.5000 0.0000 0.6313  3 Al 2.52-2.56, 2 Li 2.56
Pr: 0.0000 0.5000 0.7524  8 Pd 3.31-3.36, 6 Al 3.32-3.39, 2 Li 3.39
Pr: 0.5000 0.0000 0.2476  8 Pd 3.31-3.36, 6 Al 3.32-3.39, 2 Li 3.39
Li: 0.5000 0.5000 0.5000  4 Pd 2.56

space-group type	No. 115

# 5
First-principles (PBE) data for crystalline Li2PrAlPd4 at its relaxed geometry, as listed in Alexandria via LeMat-Bulk.

abc: 4.3634 4.3634 8.5689
angles: 75.25 75.25 60.00
Last column: nearest neighbours and their distance in Å.
Fractional coordinates of all 8 atoms:
Li: 0.7620 0.7620 0.7141  7 Pd 2.62-2.67
Li: 0.2380 0.2380 0.2859  7 Pd 2.62-2.67
Pd: 0.3990 0.3990 0.8031  1 Al 2.48, 3 Li 2.62
Pd: 0.8685 0.8685 0.3945  4 Li 2.62-2.67, 3 Al 2.66
Pd: 0.6010 0.6010 0.1969  1 Al 2.48, 3 Li 2.62
Pd: 0.1315 0.1315 0.6055  4 Li 2.62-2.67, 3 Al 2.66
Pr: 0.0000 0.0000 0.0000  8 Pd 2.99-3.23
Al: 0.5000 0.5000 0.5000  8 Pd 2.48-2.66

space-group type	No. 166

# 6
First-principles (PBE) data for crystalline LiPr2AlPd6 at its relaxed geometry, as listed in Alexandria via LeMat-Bulk.

abc: 7.0694 6.0027 7.1347
angles: 65.07 49.70 89.98
Last column: nearest neighbours and their distance in Å.
Fractional coordinates of all 10 atoms:
Pd: 0.2472 0.2798 0.9635  1 Li 2.23, 1 Al 2.43
Pd: 0.7295 0.7562 0.4877  1 Li 2.24, 1 Al 2.44
Pd: 0.7528 0.7202 0.0365  1 Li 2.23, 1 Al 2.43
Pd: 0.2471 0.7563 0.9629  1 Li 2.23, 1 Al 2.43
Pd: 0.2705 0.2438 0.5123  1 Li 2.24, 1 Al 2.44
Pd: 0.7529 0.2437 0.0371  1 Li 2.23, 1 Al 2.43
Pr: 0.7701 0.2327 0.5347  6 Pd 3.03-3.05
Pr: 0.2299 0.7673 0.4653  6 Pd 3.03-3.05
Al: 0.5000 0.5000 0.0000  6 Pd 2.43-2.44
Li: 0.0000 0.0000 0.0000  6 Pd 2.23-2.24

space-group type	No. 12

| no. | formation enthalpy at 0 K (kJ/mol of atoms) | M_tot (Bohr magnetons per cell) | calculated density (g cm⁻³) |
| --- | --- | --- | --- |
| 1 | -46.27 | 0.00 | 5.9 |
| 2 | -67.30 | 0.00 | 6.0 |
| 3 | -55.33 | 0.00 | 7.4 |
| 4 | -75.39 | 0.00 | 6.8 |
| 5 | -64.22 | 0.00 | 7.5 |
| 6 | -56.01 | 0.00 | 8.2 |